[1]
Density functional theory data (PBE) for a relaxed structure of YIN3.

Cell and atoms, written as CIF:
```
data_YIN3
_chemical_formula_sum 'Y1 I1 N3'
_symmetry_space_group_name_H-M 'P m -3 m'
_symmetry_Int_Tables_number 221
_symmetry_space_group_name_Hall '-P 4 2 3'
_cell_length_a 4.4615
_cell_length_b 4.4615
_cell_length_c 4.4615
_cell_angle_alpha 90.00
_cell_angle_beta 90.00
_cell_angle_gamma 90.00
loop_
_atom_site_label
_atom_site_fract_x
_atom_site_fract_y
_atom_site_fract_z
_atom_site_occupancy
Y1 0.0000 0.0000 0.0000 1
I1 0.5000 0.5000 0.5000 1
N1 0.0000 0.0000 0.5000 1
```

[2]
# NbAsS3 | the Alexandria database | PBE | relaxed
data_NbAsS3
_chemical_formula_sum 'Nb8 As8 S24'
_symmetry_space_group_name_H-M 'C 1 2/c 1'
_symmetry_Int_Tables_number 15
_cell_length_a 14.3763
_cell_length_b 10.3665
_cell_length_c 5.9360
_cell_angle_alpha 90.00
_cell_angle_beta 93.08
_cell_angle_gamma 90.00
loop_
_symmetry_equiv_pos_as_xyz
'x,y,z'
'-x,-y,-z'
'-x,y,-z+1/2'
'x,-y,z+1/2'
'x+1/2,y+1/2,z'
'-x+1/2,-y+1/2,-z'
'-x+1/2,y+1/2,-z+1/2'
'x+1/2,-y+1/2,z+1/2'
loop_
_atom_site_label
_atom_site_fract_x
_atom_site_fract_y
_atom_site_fract_z
_atom_site_occupancy
Nb1 0.0000 0.0609 0.2500 1
Nb2 0.0000 0.2154 0.7500 1
As1 0.1741 0.4130 0.2986 1
S1 0.0921 0.4131 0.9554 1
S2 0.1144 0.2280 0.4486 1
S3 0.1160 0.0817 0.9461 1
# ΔE to the lowest computed polymorph = 0.000 eV per atom

[3]
# Y3In4Ag2 | the Alexandria database | PBE | relaxed
data_Y3In4Ag2
_chemical_formula_sum 'Y6 In8 Ag4'
_symmetry_space_group_name_H-M 'C 1 2/m 1'
_symmetry_Int_Tables_number 12
_cell_length_a 11.0911
_cell_length_b 4.8709
_cell_length_c 9.1693
_cell_angle_alpha 90.00
_cell_angle_beta 117.04
_cell_angle_gamma 90.00
loop_
_symmetry_equiv_pos_as_xyz
'x,y,z'
'-x,-y,-z'
'-x,y,-z'
'x,-y,z'
'x+1/2,y+1/2,z'
'-x+1/2,-y+1/2,-z'
'-x+1/2,y+1/2,-z'
'x+1/2,-y+1/2,z'
loop_
_atom_site_label
_atom_site_fract_x
_atom_site_fract_y
_atom_site_fract_z
_atom_site_occupancy
Y1 0.0000 0.0000 0.0000 1
Y2 0.1696 0.5000 0.6573 1
In1 0.0428 0.0000 0.3726 1
In2 0.2358 0.5000 0.0778 1
Ag1 0.1041 0.5000 0.2741 1
# Formation energy from the elements = -440 meV/atom

[4]
# Nd2Zn3Pb | the Alexandria database | PBE | relaxed
data_Nd2Zn3Pb
_chemical_formula_sum 'Nd16 Zn24 Pb8'
_symmetry_space_group_name_H-M 'F m m m'
_symmetry_Int_Tables_number 69
_symmetry_space_group_name_Hall '-F 2 2'
_cell_length_a 7.6352
_cell_length_b 9.3303
_cell_length_c 16.1455
_cell_angle_alpha 90.00
_cell_angle_beta 90.00
_cell_angle_gamma 90.00
loop_
_atom_site_label
_atom_site_fract_x
_atom_site_fract_y
_atom_site_fract_z
_atom_site_occupancy
Nd1 0.2428 0.0000 0.0000 1
Nd2 0.2500 0.2500 0.2500 1
Zn1 0.0000 0.0000 0.1595 1
Zn2 0.0000 0.2409 0.0788 1
Pb1 0.0000 0.0000 0.3345 1
# ΔE to the lowest computed polymorph = 0.000 eV per atom
# Formation energy from the elements = -394 meV/atom

[5]
# ReNiHg | the Alexandria database | PBE | relaxed
data_ReNiHg
_chemical_formula_sum 'Re4 Ni4 Hg4'
_symmetry_space_group_name_H-M 'C 1 2/m 1'
_symmetry_Int_Tables_number 12
_cell_length_a 11.9863
_cell_length_b 2.8905
_cell_length_c 5.6186
_cell_angle_alpha 90.00
_cell_angle_beta 100.86
_cell_angle_gamma 90.00
loop_
_symmetry_equiv_pos_as_xyz
'x,y,z'
'-x,-y,-z'
'-x,y,-z'
'x,-y,z'
'x+1/2,y+1/2,z'
'-x+1/2,-y+1/2,-z'
'-x+1/2,y+1/2,-z'
'x+1/2,-y+1/2,z'
loop_
_atom_site_label
_atom_site_fract_x
_atom_site_fract_y
_atom_site_fract_z
_atom_site_occupancy
Re1 0.1898 0.0000 0.3438 1
Ni1 0.1840 0.0000 0.8571 1
Hg1 0.0000 0.5000 0.0000 1
Hg2 0.0000 0.5000 0.5000 1
# ΔE to the lowest computed polymorph = 0.128 eV per atom
# Formation energy from the elements = 385 meV/atom

[6]
# LaHoOs | the Alexandria database | PBE | relaxed
data_LaHoOs
_chemical_formula_sum 'La8 Ho8 Os8'
_symmetry_space_group_name_H-M 'C m c e'
_symmetry_Int_Tables_number 64
_symmetry_space_group_name_Hall '-C 2ac 2'
_cell_length_a 6.5955
_cell_length_b 13.5287
_cell_length_c 7.2573
_cell_angle_alpha 90.00
_cell_angle_beta 90.00
_cell_angle_gamma 90.00
loop_
_atom_site_label
_atom_site_fract_x
_atom_site_fract_y
_atom_site_fract_z
_atom_site_occupancy
La1 0.0000 0.1997 0.1121 1
Ho1 0.2500 0.0304 0.7500 1
Os1 0.0000 0.1127 0.4563 1
# ΔE to the lowest computed polymorph = 0.002 eV per atom
# Formation energy from the elements = -151 meV/atom

[7]
# KSrTl2Ir | the Alexandria database | PBE | relaxed
data_KSrTl2Ir
_chemical_formula_sum 'K1 Sr1 Tl2 Ir1'
_symmetry_space_group_name_H-M 'P 4/m m m'
_symmetry_Int_Tables_number 123
_symmetry_space_group_name_Hall '-P 4 2'
_cell_length_a 5.4154
_cell_length_b 5.4154
_cell_length_c 5.7285
_cell_angle_alpha 90.00
_cell_angle_beta 90.00
_cell_angle_gamma 90.00
loop_
_atom_site_label
_atom_site_fract_x
_atom_site_fract_y
_atom_site_fract_z
_atom_site_occupancy
K1 0.0000 0.0000 0.0000 1
Sr1 0.5000 0.5000 0.0000 1
Tl1 0.0000 0.5000 0.5000 1
Ir1 0.5000 0.5000 0.5000 1
# Formation energy from the elements = -58 meV/atom

[8]
Density functional theory data (PBE) for a relaxed structure of CrBr.

Cell and atoms, written as CIF:
```
data_CrBr
_chemical_formula_sum 'Cr2 Br2'
_symmetry_space_group_name_H-M 'P -3 m 1'
_symmetry_Int_Tables_number 164
_symmetry_space_group_name_Hall '-P 3 2"'
_cell_length_a 3.2010
_cell_length_b 3.2010
_cell_length_c 9.2459
_cell_angle_alpha 90.00
_cell_angle_beta 90.00
_cell_angle_gamma 120.00
loop_
_atom_site_label
_atom_site_fract_x
_atom_site_fract_y
_atom_site_fract_z
_atom_site_occupancy
Cr1 0.3333 0.6667 0.0839 1
Br1 0.3333 0.6667 0.7253 1
```

Calculated raw total energy (eV per cell), listed in the same order as above: -24.790, -237.163, -80.018, -155.420, -69.507, -169.505, -16.661, -22.072